Computed, not measured: a relaxed structure of UBr4F at the GGA-PBE level of DFT.

Magnetic moment ... 1.00 μB per formula unit
VASP energy ... -4.996 eV per atom
Formation energy (no corrections) ... -1.6871 eV per atom

a = 4.509 Å, b = 7.665 Å, c = 7.665 Å
α = 85.04°, β = 72.90°, γ = 72.90°
Each line ends with the local moment (μB).
Element x y z (fractional)
U (0.943, 0.000, 0.000)  1.21
Br (0.695, 0.184, 0.311)  -0.05
Br (0.006, 0.689, 0.184)  -0.05
Br (0.879, 0.311, 0.816)  -0.05
Br (0.190, 0.816, 0.689)  -0.05
F (0.443, 0.000, 0.000)  -0.01